Computed, not measured: crystalline NaCo3O6 at its relaxed geometry at the PBE with a Hubbard U level of DFT.

abc: 5.515 5.515 5.515
angles: 53.53 53.53 53.53
Atoms (fractional coordinates):
1 Co 0.018 0.018 0.018
2 Co 0.539 0.539 0.539
3 Co 0.342 0.342 0.342
4 O 0.349 0.742 0.177
5 O 0.953 0.619 0.254
6 O 0.177 0.349 0.742
7 O 0.742 0.177 0.349
8 O 0.619 0.254 0.953
9 O 0.254 0.953 0.619
10 Na 0.812 0.812 0.812

Values from the calculation:
Energy relative to the lowest polymorph listed for this composition = 194 meV per atom
SG = R3, No. 146
Calculated total energy = -0.40145 Ry/atom
Size of the total moment = 6.01 μB per cell
N(E_F) = 0.45 states/eV/atom
Mass density = 4.88 g/cm³